No. 1
The following is a PBE calculation of a relaxed structure of Ba3PmP2N6, from Alexandria.

VASP energy ... -82.158 eV for the cell shown
Raw formation energy ... -0.906 eV per atom

Geometry as CIF:
```
data_Ba3PmP2N6
_space_group_name_H-M_alt 'P -3 m 1'
_space_group_IT_number 164
_space_group_name_Hall '-P 3 2"'
_cell_length_a 6.0495
_cell_length_b 6.0495
_cell_length_c 7.3625
_cell_angle_alpha 90.00
_cell_angle_beta 90.00
_cell_angle_gamma 120.00
loop_
_atom_site_label
_atom_site_type_symbol
_atom_site_fract_x
_atom_site_fract_y
_atom_site_fract_z
Ba1 Ba 0.0000 0.0000 0.0000
Ba2 Ba 0.3333 0.6667 0.6975
Pm1 Pm 0.0000 0.0000 0.5000
P1 P 0.3333 0.6667 0.2627
N1 N 0.1818 0.3637 0.2920
```

No. 2
The following is a PBE calculation of a relaxed structure of Ba3PrP2N6, from Alexandria.

VASP energy ... -81.902 eV for the cell shown
Raw formation energy ... -0.882 eV per atom

Geometry as CIF:
```
data_Ba3PrP2N6
_space_group_name_H-M_alt 'P -3 m 1'
_space_group_IT_number 164
_space_group_name_Hall '-P 3 2"'
_cell_length_a 6.0762
_cell_length_b 6.0762
_cell_length_c 7.4246
_cell_angle_alpha 90.00
_cell_angle_beta 90.00
_cell_angle_gamma 120.00
loop_
_atom_site_label
_atom_site_type_symbol
_atom_site_fract_x
_atom_site_fract_y
_atom_site_fract_z
Ba1 Ba 0.0000 0.0000 0.0000
Ba2 Ba 0.3333 0.6667 0.7012
Pr1 Pr 0.0000 0.0000 0.5000
P1 P 0.3333 0.6667 0.2617
N1 N 0.1824 0.3649 0.2882
```

No. 3
The following is a PBE calculation of a relaxed structure of Ba2PrP2N6, from Alexandria.

VASP energy ... -234.420 eV for the cell shown
Raw formation energy ... -0.795 eV per atom

Geometry as CIF:
```
data_Ba2PrP2N6
_space_group_name_H-M_alt 'R -3 m'
_space_group_IT_number 166
_space_group_name_Hall '-R 3 2"'
_cell_length_a 5.9424
_cell_length_b 5.9424
_cell_length_c 19.2045
_cell_angle_alpha 90.00
_cell_angle_beta 90.00
_cell_angle_gamma 120.00
loop_
_atom_site_label
_atom_site_type_symbol
_atom_site_fract_x
_atom_site_fract_y
_atom_site_fract_z
Ba1 Ba 0.0000 0.0000 0.2085
Pr1 Pr 0.0000 0.0000 0.0000
P1 P 0.0000 0.0000 0.4184
N1 N 0.0261 0.5130 0.2476
```

No. 4
The following is a PBE calculation of a relaxed structure of BaPu3P4N12, from Alexandria.

VASP energy ... -533.931 eV for the cell shown
Raw formation energy ... -0.576 eV per atom

Geometry as CIF:
```
data_BaPu3P4N12
_space_group_name_H-M_alt 'R 3 2'
_space_group_IT_number 155
_space_group_name_Hall 'R 3 2"'
_cell_length_a 10.8965
_cell_length_b 10.8965
_cell_length_c 8.8964
_cell_angle_alpha 90.00
_cell_angle_beta 90.00
_cell_angle_gamma 120.00
loop_
_atom_site_label
_atom_site_type_symbol
_atom_site_fract_x
_atom_site_fract_y
_atom_site_fract_z
Ba1 Ba 0.0000 0.0000 0.0000
Pu1 Pu 0.0000 0.5538 0.0000
P1 P 0.0000 0.0000 0.5000
P2 P 0.0000 0.4436 0.5000
N1 N 0.0000 0.5908 0.5000
N2 N 0.0000 0.8542 0.5000
N3 N 0.0298 0.2183 0.1949
```

No. 5
The following is a PBE calculation of a relaxed structure of Ba3PuP2N6, from Alexandria.

VASP energy ... -91.090 eV for the cell shown
Raw formation energy ... -0.851 eV per atom

Geometry as CIF:
```
data_Ba3PuP2N6
_space_group_name_H-M_alt 'P -3 m 1'
_space_group_IT_number 164
_space_group_name_Hall '-P 3 2"'
_cell_length_a 5.9937
_cell_length_b 5.9937
_cell_length_c 7.2177
_cell_angle_alpha 90.00
_cell_angle_beta 90.00
_cell_angle_gamma 120.00
loop_
_atom_site_label
_atom_site_type_symbol
_atom_site_fract_x
_atom_site_fract_y
_atom_site_fract_z
Ba1 Ba 0.0000 0.0000 0.0000
Ba2 Ba 0.3333 0.6667 0.6827
Pu1 Pu 0.0000 0.0000 0.5000
P1 P 0.3333 0.6667 0.2492
N1 N 0.1801 0.3602 0.3037
```

No. 6
The following is a PBE calculation of a relaxed structure of BaReP2N, from Alexandria.

VASP energy ... -30.076 eV for the cell shown
Raw formation energy ... 0.688 eV per atom

Geometry as CIF:
```
data_BaReP2N
_space_group_name_H-M_alt 'P 4/m m m'
_space_group_IT_number 123
_space_group_name_Hall '-P 4 2'
_cell_length_a 4.4661
_cell_length_b 4.4661
_cell_length_c 6.8444
_cell_angle_alpha 90.00
_cell_angle_beta 90.00
_cell_angle_gamma 90.00
loop_
_atom_site_label
_atom_site_type_symbol
_atom_site_fract_x
_atom_site_fract_y
_atom_site_fract_z
Ba1 Ba 0.0000 0.0000 0.0000
Re1 Re 0.0000 0.0000 0.5000
P1 P 0.0000 0.5000 0.5000
N1 N 0.5000 0.5000 0.0000
```

No. 7
The following is a PBE calculation of a relaxed structure of Ba2P2RhN6, from Alexandria.

VASP energy ... -225.080 eV for the cell shown
Raw formation energy ... -0.278 eV per atom

Geometry as CIF:
```
data_Ba2P2RhN6
_space_group_name_H-M_alt 'R -3 m'
_space_group_IT_number 166
_space_group_name_Hall '-R 3 2"'
_cell_length_a 5.6524
_cell_length_b 5.6524
_cell_length_c 17.2791
_cell_angle_alpha 90.00
_cell_angle_beta 90.00
_cell_angle_gamma 120.00
loop_
_atom_site_label
_atom_site_type_symbol
_atom_site_fract_x
_atom_site_fract_y
_atom_site_fract_z
Ba1 Ba 0.0000 0.0000 0.2145
P1 P 0.0000 0.0000 0.4011
Rh1 Rh 0.0000 0.0000 0.0000
N1 N 0.0100 0.5050 0.2593
```

No. 8
The following is a PBE calculation of a relaxed structure of Ba6P2SN, from Alexandria.

VASP energy ... -89.080 eV for the cell shown
Raw formation energy ... -0.973 eV per atom

Geometry as CIF:
```
data_Ba6P2SN
_space_group_name_H-M_alt 'P 1 21/c 1'
_space_group_IT_number 14
_cell_length_a 7.4695
_cell_length_b 8.3771
_cell_length_c 13.2673
_cell_angle_alpha 90.00
_cell_angle_beta 123.45
_cell_angle_gamma 90.00
loop_
_space_group_symop_operation_xyz
'x,y,z'
'-x,-y,-z'
'-x,y+1/2,-z+1/2'
'x,-y+1/2,z+1/2'
loop_
_atom_site_label
_atom_site_type_symbol
_atom_site_fract_x
_atom_site_fract_y
_atom_site_fract_z
Ba1 Ba 0.1009 0.2047 0.4334
Ba2 Ba 0.2284 0.6742 0.4295
Ba3 Ba 0.3697 0.0480 0.2343
P1 P 0.2003 0.0969 0.7454
S1 S 0.5000 0.0000 0.5000
N1 N 0.0000 0.0000 0.0000
```

No. 9
The following is a PBE calculation of a relaxed structure of Ba6Sb2PN, from Alexandria.

VASP energy ... -84.567 eV for the cell shown
Raw formation energy ... -0.877 eV per atom

Geometry as CIF:
```
data_Ba6Sb2PN
_space_group_name_H-M_alt 'P 1 21/c 1'
_space_group_IT_number 14
_cell_length_a 8.0242
_cell_length_b 8.4229
_cell_length_c 14.0552
_cell_angle_alpha 90.00
_cell_angle_beta 124.65
_cell_angle_gamma 90.00
loop_
_space_group_symop_operation_xyz
'x,y,z'
'-x,-y,-z'
'-x,y+1/2,-z+1/2'
'x,-y+1/2,z+1/2'
loop_
_atom_site_label
_atom_site_type_symbol
_atom_site_fract_x
_atom_site_fract_y
_atom_site_fract_z
Ba1 Ba 0.1359 0.2114 0.4518
Ba2 Ba 0.2433 0.6863 0.4548
Ba3 Ba 0.3237 0.0312 0.2357
Sb1 Sb 0.2315 0.0616 0.7498
P1 P 0.5000 0.0000 0.5000
N1 N 0.0000 0.0000 0.0000
```

No. 10
The following is a PBE calculation of a relaxed structure of Ba6SbP2N, from Alexandria.

VASP energy ... -85.152 eV for the cell shown
Raw formation energy ... -0.777 eV per atom

Geometry as CIF:
```
data_Ba6SbP2N
_space_group_name_H-M_alt 'P 1 21/c 1'
_space_group_IT_number 14
_cell_length_a 7.9253
_cell_length_b 8.2153
_cell_length_c 13.5252
_cell_angle_alpha 90.00
_cell_angle_beta 120.18
_cell_angle_gamma 90.00
loop_
_space_group_symop_operation_xyz
'x,y,z'
'-x,-y,-z'
'-x,y+1/2,-z+1/2'
'x,-y+1/2,z+1/2'
loop_
_atom_site_label
_atom_site_type_symbol
_atom_site_fract_x
_atom_site_fract_y
_atom_site_fract_z
Ba1 Ba 0.0870 0.1997 0.4359
Ba2 Ba 0.1828 0.6654 0.4071
Ba3 Ba 0.3799 0.0689 0.2250
Sb1 Sb 0.5000 0.0000 0.5000
P1 P 0.1989 0.0836 0.7274
N1 N 0.0000 0.0000 0.0000
```

No. 11
The following is a PBE calculation of a relaxed structure of BaSc2P2N6, from Alexandria.

VASP energy ... -85.653 eV for the cell shown
Raw formation energy ... -0.936 eV per atom

Geometry as CIF:
```
data_BaSc2P2N6
_space_group_name_H-M_alt 'P -1'
_space_group_IT_number 2
_cell_length_a 5.8243
_cell_length_b 5.9577
_cell_length_c 6.1456
_cell_angle_alpha 88.13
_cell_angle_beta 66.40
_cell_angle_gamma 62.94
loop_
_space_group_symop_operation_xyz
'x,y,z'
'-x,-y,-z'
loop_
_atom_site_label
_atom_site_type_symbol
_atom_site_fract_x
_atom_site_fract_y
_atom_site_fract_z
Ba1 Ba 0.0000 0.0000 0.0000
Sc1 Sc 0.3578 0.7329 0.3762
P1 P 0.3006 0.2664 0.2535
N1 N 0.0929 0.1594 0.4067
N2 N 0.3680 0.2938 0.9831
N3 N 0.4719 0.3237 0.3726
```

No. 12
The following is a PBE calculation of a relaxed structure of BaPSeN2, from Alexandria.

VASP energy ... -17.363 eV for the cell shown
Raw formation energy ... 2.021 eV per atom

Geometry as CIF:
```
data_BaPSeN2
_space_group_name_H-M_alt 'P 4/m m m'
_space_group_IT_number 123
_space_group_name_Hall '-P 4 2'
_cell_length_a 4.3264
_cell_length_b 4.3264
_cell_length_c 6.8830
_cell_angle_alpha 90.00
_cell_angle_beta 90.00
_cell_angle_gamma 90.00
loop_
_atom_site_label
_atom_site_type_symbol
_atom_site_fract_x
_atom_site_fract_y
_atom_site_fract_z
Ba1 Ba 0.0000 0.0000 0.0000
P1 P 0.5000 0.5000 0.5000
Se1 Se 0.0000 0.0000 0.5000
N1 N 0.0000 0.5000 0.0000
```

> The highest VASP energy belongs to which entry?

BaPSeN2